The following is a PBE-GGA calculation of an optimized crystal structure of Th3Zn2Ag3, from Alexandria.

Computed properties:
E_form (eV per atom): -0.13
Size of the total moment (μB/atom): 0.00

```
16
Lattice="2.3488 -5.4434 0.0000 2.3488 5.4434 0.0000 0.0000 0.0000 14.7383" Properties=species:S:1:pos:R:3 pbc="T T T"
Th 2.3488 4.5918 8.9231
Th 2.3488 4.5918 13.1844
Th 2.3488 1.7253 11.0537
Th 2.3488 -1.7253 3.6846
Th 2.3488 -4.5918 1.5539
Th 2.3488 -4.5918 5.8152
Zn 2.3488 3.1522 1.4950
Zn 2.3488 3.1522 5.8742
Zn 2.3488 -3.1522 8.8641
Zn 2.3488 -3.1522 13.2433
Ag 2.3488 1.5059 3.6846
Ag 2.3488 1.3099 7.9544
Ag 2.3488 1.3099 14.1530
Ag 2.3488 -1.3099 0.5853
Ag 2.3488 -1.3099 6.7839
Ag 2.3488 -1.5059 11.0537
```

=====

The following is a PBE-GGA calculation of an optimized crystal structure of InCu3Se4, from Alexandria.

Computed properties:
Size of the total moment (μB/atom): 0.00
E_form (uncorrected) (eV/atom): -0.289

```
16
Lattice="7.9799 0.0000 0.0000 0.0000 6.8946 0.0000 0.0000 0.0000 6.6812" Properties=species:S:1:pos:R:3 pbc="T T T"
In 0.0000 1.1187 0.0000
In 3.9899 5.7759 3.3406
Cu 0.0000 5.7171 3.3363
Cu 1.9917 2.3052 3.3447
Cu 1.9983 4.5894 0.0041
Cu 3.9899 1.1775 6.6770
Cu 5.9882 2.3052 3.3447
Cu 5.9816 4.5894 0.0041
Se 0.0000 1.1180 4.0287
Se 0.0000 5.5390 0.9456
Se 1.8617 4.5227 4.2897
Se 2.1283 2.3719 0.9491
Se 3.9899 1.3556 4.2863
Se 3.9899 5.7766 0.6881
Se 5.8516 2.3719 0.9491
Se 6.1182 4.5227 4.2897
```

=====

The following is a PBE-GGA calculation of an optimized crystal structure of Ti4TlH, from Alexandria.

Computed properties:
Size of the total moment (μB/atom): 0.13

```
6
Lattice="3.9165 0.0000 0.0000 0.0000 3.9165 0.0000 0.0000 0.0000 6.4205" Properties=species:S:1:pos:R:3 pbc="T T T"
Ti 0.0000 0.0000 1.1076
Ti 0.0000 0.0000 5.3128
Ti 0.0000 1.9582 3.2102
Ti 1.9582 0.0000 3.2102
Tl 1.9582 1.9582 0.0000
H 0.0000 0.0000 3.2102
```

=====

The following is a PBE-GGA calculation of an optimized crystal structure of InCo2Os, from Alexandria.

Computed properties:
E_form (eV per atom): 0.48
Size of the total moment (μB/atom): 0.91

```
4
Lattice="3.2403 0.0000 0.0000 0.0000 4.0953 0.0000 0.0000 0.0000 4.3195" Properties=species:S:1:pos:R:3 pbc="T T T"
In 0.0000 0.0000 0.0000
Co 0.0000 2.0476 2.1597
Co 1.6201 2.0476 0.0000
Os 1.6201 0.0000 2.1597
```

=====

The following is a PBE-GGA calculation of an optimized crystal structure of V15Fe4W, from Alexandria.

Computed properties:
E_form (eV per atom): -0.12
Size of the total moment (μB/atom): 0.00

```
20
Lattice="4.1614 0.0000 0.0000 0.0000 4.1614 0.0000 0.0000 0.0000 14.7176" Properties=species:S:1:pos:R:3 pbc="T T T"
V 0.0000 0.0000 0.0000
V 0.0000 0.0000 3.0107
V 0.0000 0.0000 5.9160
V 0.0000 0.0000 8.8016
V 0.0000 0.0000 11.7069
V 0.0000 2.0807 1.5545
V 0.0000 2.0807 4.4608
V 0.0000 2.0807 7.3588
V 0.0000 2.0807 10.2569
V 0.0000 2.0807 13.1631
V 2.0807 0.0000 1.5545
V 2.0807 0.0000 4.4608
V 2.0807 0.0000 7.3588
V 2.0807 0.0000 10.2569
V 2.0807 0.0000 13.1631
Fe 2.0807 2.0807 3.0196
Fe 2.0807 2.0807 5.9086
Fe 2.0807 2.0807 8.8090
Fe 2.0807 2.0807 11.6980
W 2.0807 2.0807 0.0000
```

=====

The following is a PBE-GGA calculation of an optimized crystal structure of LiReRu2, from Alexandria.

Computed properties:
E_form (eV per atom): 0.10
Size of the total moment (μB/atom): 0.00
Relative energy among the computed polymorphs (eV per atom): 0.094

```
4
Lattice="1.3680 0.7898 8.9165 -1.3680 0.7898 8.9165 0.0000 -1.5797 8.9165" Properties=species:S:1:pos:R:3 pbc="T T T"
Li 0.0000 0.0000 0.0000
Re 0.0000 0.0000 13.3747
Ru 0.0000 0.0000 6.6040
Ru 0.0000 0.0000 20.1455
```

=====

The following is a PBE-GGA calculation of an optimized crystal structure of Fe3Ni3N, from Alexandria.

Computed properties:
Size of the total moment (μB/atom): 1.32
E_form (uncorrected) (eV/atom): 0.030

```
28
Lattice="0.0000 5.2806 5.2806 5.2806 0.0000 5.2806 5.2806 5.2806 0.0000" Properties=species:S:1:pos:R:3 pbc="T T T"
Fe 3.9604 3.9604 0.6571
Fe 3.9604 0.6571 3.9604
Fe 7.2637 3.9604 3.9604
Fe 6.6007 6.6007 3.2974
Fe 6.6007 3.2974 6.6007
Fe 9.9040 6.6007 6.6007
Fe 0.6571 3.9604 3.9604
Fe 3.9604 7.2637 3.9604
Fe 3.9604 3.9604 7.2637
Fe 3.2974 6.6007 6.6007
Fe 6.6007 9.9040 6.6007
Fe 6.6007 6.6007 9.9040
Ni 5.2806 2.6403 2.6403
Ni 3.0548 3.0548 3.0548
Ni 4.8661 4.8661 3.0548
Ni 4.8661 3.0548 4.8661
Ni 7.5064 5.6951 5.6951
Ni 2.6403 5.2806 2.6403
Ni 2.6403 2.6403 5.2806
Ni 5.2806 5.2806 5.2806
Ni 3.0548 4.8661 4.8661
Ni 5.6951 7.5064 5.6951
Ni 5.6951 5.6951 7.5064
Ni 7.5064 7.5064 7.5064
N 0.0000 0.0000 0.0000
N 2.6403 2.6403 0.0000
N 2.6403 0.0000 2.6403
N 0.0000 2.6403 2.6403
```

=====

The following is a PBE-GGA calculation of an optimized crystal structure of U2CuNi9, from Alexandria.

Computed properties:
E_form (eV per atom): -0.07
Size of the total moment (μB/atom): 0.26
Relative energy among the computed polymorphs (eV per atom): 0.050

```
12
Lattice="2.3982 1.3846 8.0522 -2.3982 1.3846 8.0522 0.0000 -2.7692 8.0522" Properties=species:S:1:pos:R:3 pbc="T T T"
U 0.0000 0.0000 3.3161
U 0.0000 0.0000 20.8406
Cu 0.0000 0.0000 0.0000
Ni -1.2040 -0.6952 10.0465
Ni 0.0000 0.0000 8.0444
Ni 0.0000 -1.3903 14.1102
Ni -1.2040 0.6952 14.1102
Ni 0.0000 0.0000 12.0783
Ni 1.2040 -0.6952 10.0465
Ni 0.0000 1.3903 10.0465
Ni 0.0000 0.0000 16.1122
Ni 1.2040 0.6952 14.1102
```

=====

The following is a PBE-GGA calculation of an optimized crystal structure of YAg2Pd8, from Alexandria.

Computed properties:
E_form (eV per atom): -0.32
Size of the total moment (μB/atom): 0.00
Relative energy among the computed polymorphs (eV per atom): 0.000

```
11
Lattice="7.2810 -2.0384 0.0000 7.2810 2.0384 0.0000 -1.6983 0.0000 6.1775" Properties=species:S:1:pos:R:3 pbc="T T T"
Y 0.0000 0.0000 0.0000
Ag 3.3494 0.0000 2.2328
Ag 9.5144 0.0000 3.9447
Pd 0.5301 0.0000 2.8459
Pd 1.1260 0.0000 5.6174
Pd 3.8960 0.0000 5.0376
Pd 6.1303 0.0000 1.7184
Pd 6.7334 0.0000 4.4591
Pd 8.9677 0.0000 1.1399
Pd 11.7378 0.0000 0.5602
Pd 12.3337 0.0000 3.3316
```

=====

The following is a PBE-GGA calculation of an optimized crystal structure of ZrAl2Mo, from Alexandria.

Computed properties:
E_form (eV per atom): -0.20
Size of the total moment (μB/atom): 0.00
Relative energy among the computed polymorphs (eV per atom): 0.069

```
4
Lattice="2.8966 0.0000 0.0000 0.0000 2.8966 0.0000 0.0000 0.0000 8.2052" Properties=species:S:1:pos:R:3 pbc="T T T"
Zr 0.0000 0.0000 0.0000
Al 1.4483 1.4483 2.1995
Al 1.4483 1.4483 6.0057
Mo 0.0000 0.0000 4.1026
```

=====

The following is a PBE-GGA calculation of an optimized crystal structure of HfB2AuC, from Alexandria.

Computed properties:
E_form (eV per atom): 1.96
Size of the total moment (μB/atom): 0.00

```
5
Lattice="4.4774 0.0000 0.0000 0.0000 4.4774 0.0000 0.0000 0.0000 4.2174" Properties=species:S:1:pos:R:3 pbc="T T T"
Hf 0.0000 0.0000 0.0000
B 0.0000 2.2387 0.0000
B 2.2387 0.0000 0.0000
Au 2.2387 2.2387 2.1087
C 0.0000 0.0000 2.1087
```

=====

The following is a PBE-GGA calculation of an optimized crystal structure of Ba2PaAg2O6, from Alexandria.

Computed properties:
Size of the total moment (μB/atom): 0.00
E_form (uncorrected) (eV/atom): -2.053

```
11
Lattice="3.2573 1.8806 5.6762 -3.2573 1.8806 5.6762 0.0000 -3.7612 5.6762" Properties=species:S:1:pos:R:3 pbc="T T T"
Ba 0.0000 0.0000 3.6195
Ba 0.0000 0.0000 13.4092
Pa 0.0000 0.0000 0.0000
Ag 0.0000 0.0000 7.1030
Ag 0.0000 0.0000 9.9256
O -1.8565 -1.0719 9.9148
O 0.0000 -2.1438 7.1138
O -1.8565 1.0719 7.1138
O 1.8565 -1.0719 9.9148
O 0.0000 2.1438 9.9148
O 1.8565 1.0719 7.1138
```

=====

The following is a PBE-GGA calculation of an optimized crystal structure of Be2CoAg, from Alexandria.

Computed properties:
E_form (eV per atom): 0.14
Size of the total moment (μB/atom): 0.00
Relative energy among the computed polymorphs (eV per atom): 0.265

```
4
Lattice="-1.3765 1.9421 4.1020 1.3765 -1.9421 4.1020 1.3765 1.9421 -4.1020" Properties=species:S:1:pos:R:3 pbc="T T T"
Be 0.0000 0.0000 0.0000
Be 0.0000 1.9421 2.1241
Co 1.3765 0.0000 1.8452
Ag 0.0000 0.0000 4.1057
```

=====

The following is a PBE-GGA calculation of an optimized crystal structure of CsSbPO2, from Alexandria.

Computed properties:
Size of the total moment (μB/atom): 0.02
Relative energy among the computed polymorphs (eV per atom): 1.193
E_form (uncorrected) (eV/atom): 0.808

```
5
Lattice="4.2059 0.0000 0.0000 0.0000 4.2059 0.0000 0.0000 0.0000 7.1192" Properties=species:S:1:pos:R:3 pbc="T T T"
Cs 0.0000 0.0000 0.0000
Sb 2.1029 2.1029 3.5596
P 0.0000 0.0000 3.5596
O 0.0000 2.1029 0.0000
O 2.1029 0.0000 0.0000
```

=====

The following is a PBE-GGA calculation of an optimized crystal structure of LiPr2Zn3Ag4, from Alexandria.

Computed properties:
E_form (eV per atom): -0.22
Size of the total moment (μB/atom): 0.00

```
10
Lattice="4.1515 0.0000 0.0000 0.0000 4.1515 0.0000 0.0000 0.0000 12.2588" Properties=species:S:1:pos:R:3 pbc="T T T"
Li 0.0000 0.0000 0.0000
Pr 0.0000 2.0757 9.0834
Pr 2.0757 0.0000 3.1755
Zn 0.0000 2.0757 4.4314
Zn 2.0757 0.0000 7.8274
Zn 2.0757 2.0757 0.0000
Ag 0.0000 0.0000 6.1294
Ag 0.0000 2.0757 1.7533
Ag 2.0757 0.0000 10.5055
Ag 2.0757 2.0757 6.1294
```

=====

The following is a PBE-GGA calculation of an optimized crystal structure of Mg3Si4, from Alexandria.

Computed properties:
Size of the total moment (μB/atom): 0.00
Relative energy among the computed polymorphs (eV per atom): 0.039
E_form (uncorrected) (eV/atom): 0.092

```
14
Lattice="5.7028 0.0000 0.0000 -2.4070 6.3384 0.0000 -0.2344 -1.6324 7.6742" Properties=species:S:1:pos:R:3 pbc="T T T"
Mg 0.0000 0.0000 0.0000
Mg -1.0890 2.9844 0.0330
Mg -1.5745 4.1619 4.8057
Mg 0.2537 4.8198 2.3171
Mg 2.2872 0.7281 5.2959
Mg 4.9446 0.6307 2.9060
Si -0.5932 0.0489 5.4857
Si 1.1415 2.0729 1.5320
Si 0.0696 3.7996 7.0174
Si 1.6742 2.0953 7.6054
Si 1.1239 4.5861 4.9508
Si 3.0420 0.7813 0.9885
Si 2.1320 2.8374 3.5906
Si 3.2553 4.3594 2.0051
```

=====

The following is a PBE-GGA calculation of an optimized crystal structure of La2ZrPdSe, from Alexandria.

Computed properties:
Size of the total moment (μB/atom): 0.18
E_form (uncorrected) (eV/atom): -0.209

```
5
Lattice="5.7829 0.0000 0.0000 0.0000 5.7829 0.0000 0.0000 0.0000 4.9465" Properties=species:S:1:pos:R:3 pbc="T T T"
La 0.0000 2.8915 0.0000
La 2.8915 0.0000 0.0000
Zr 0.0000 0.0000 2.4733
Pd 0.0000 0.0000 0.0000
Se 2.8915 2.8915 2.4733
```

=====

The following is a PBE-GGA calculation of an optimized crystal structure of Sr2ZnMo, from Alexandria.

Computed properties:
E_form (eV per atom): 0.91
Size of the total moment (μB/atom): 0.78

```
4
Lattice="4.8847 -1.8332 0.0000 4.8847 1.8332 0.0000 -1.3082 0.0000 7.0192" Properties=species:S:1:pos:R:3 pbc="T T T"
Sr 2.0986 0.0000 1.8040
Sr 6.3626 0.0000 5.2152
Zn 4.8847 0.0000 0.0000
Mo -0.6541 0.0000 3.5096
```

=====

The following is a PBE-GGA calculation of an optimized crystal structure of SrAlCr2Se6, from Alexandria.

Computed properties:
Size of the total moment (μB/atom): 0.50
E_form (uncorrected) (eV/atom): -0.730

```
10
Lattice="3.3724 1.9470 5.8183 -3.3724 1.9470 5.8183 0.0000 -3.8941 5.8183" Properties=species:S:1:pos:R:3 pbc="T T T"
Sr 0.0000 0.0000 0.0000
Al 0.0000 0.0000 8.2429
Cr 0.0000 0.0000 4.7331
Cr 0.0000 0.0000 13.6811
Se -1.8598 -0.4682 6.5749
Se -1.1843 -2.0441 9.3483
Se 1.3354 -1.3766 6.5748
Se -1.1781 2.0477 9.3483
Se 0.5244 1.8448 6.5748
Se 2.3624 -0.0036 9.3483
```

=====

The following is a PBE-GGA calculation of an optimized crystal structure of Nd2TmZn3, from Alexandria.

Computed properties:
E_form (eV per atom): -0.31
Size of the total moment (μB/atom): 0.00

```
6
Lattice="3.6116 0.0000 0.0000 0.0000 3.6116 0.0000 0.0000 0.0000 11.0054" Properties=species:S:1:pos:R:3 pbc="T T T"
Nd 0.0000 0.0000 1.8962
Nd 0.0000 0.0000 9.1091
Tm 0.0000 0.0000 5.5027
Zn 1.8058 1.8058 0.0000
Zn 1.8058 1.8058 3.8525
Zn 1.8058 1.8058 7.1529
```

=====

no.,electronic total energy (Ry per atom),DOS(E_F) (states/eV/f.u.)
1,-0.31587,8.84
2,-0.28735,6.16
3,-0.43254,8.19
4,-0.48273,6.00
5,-0.68351,16.81
6,-0.59710,2.88
7,-0.53388,8.09
8,-0.48739,16.92
9,-0.38202,10.81
10,-0.50843,2.61
11,-0.38214,2.76
12,-0.47690,6.20
13,-0.30938,2.44
14,-0.23905,2.41
15,-0.21234,6.02
16,-0.27126,2.04
17,-0.41342,4.92
18,-0.21743,3.67
19,-0.38868,4.85
20,-0.24140,6.99